PaIO3 after structural relaxation, computed with PBE.

## Properties
- Total moment: 0.0000 μB per atom
- Crystal system: monoclinic
- Formation energy (no corrections): -2.30 eV/atom

a b c (Å): 6.0202 5.6723 7.1207
angles (deg): 90.00 109.17 90.00
Last column: nearest neighbours and their distance in Å.
Space group P2_1 (No. 4)
Asymmetric unit:
Pa (0.2479, 0.0000, 0.4860) [2 per cell]  5 O 2.08-2.19
I (0.3553, 0.7032, 0.0623) [2 per cell]  1 O 1.98
O (0.0152, 0.2790, 0.4557) [2 per cell]  2 Pa 2.08-2.16
O (0.1510, 0.8882, 0.1751) [2 per cell]  1 I 1.98, 1 Pa 2.19
O (0.4968, 0.7318, 0.5716) [2 per cell]  2 Pa 2.08-2.16

---

PmPuTl2S4 after structural relaxation, computed with PBE.

## Properties
- Total moment: 0.6250 μB per atom
- Crystal system: monoclinic
- Formation energy (no corrections): -1.33 eV/atom

a b c (Å): 7.1463 4.1236 7.8427
angles (deg): 90.00 107.70 90.00
Last column: nearest neighbours and their distance in Å.
Space group P2/m (No. 10)
Asymmetric unit:
Pm (0.0000, 0.0000, 0.0000) [1 per cell]  6 S 2.83
Pu (0.5000, 0.5000, 0.0000) [1 per cell]  6 S 2.78-2.80
Tl (0.0000, 0.5000, 0.5000) [1 per cell]  6 S 3.28-3.30
Tl (0.5000, 0.0000, 0.5000) [1 per cell]  6 S 3.25-3.26
S (0.2373, 0.5000, 0.2021) [2 per cell]  1 Pu 2.80, 2 Pm 2.83
S (0.2732, 0.0000, 0.8031) [2 per cell]  2 Pu 2.78, 1 Pm 2.83

---

Pu2Si4Mo3 after structural relaxation, computed with PBE.

## Properties
- Total moment: 1.0845 μB per atom
- Crystal system: monoclinic
- Formation energy (no corrections): -0.51 eV/atom

a b c (Å): 6.8723 6.8909 6.8026
angles (deg): 90.00 109.59 90.00
Last column: nearest neighbours and their distance in Å.
Space group P2_1/c (No. 14)
Asymmetric unit:
Pu (0.1835, 0.1621, 0.0574) [4 per cell]  7 Si 2.81-3.00
Si (0.0897, 0.5442, 0.8714) [4 per cell]  1 Si 2.53, 4 Mo 2.56-2.68, 1 Pu 2.81
Si (0.4990, 0.1323, 0.8685) [4 per cell]  5 Mo 2.54-2.69, 1 Si 2.55
Mo (0.2526, 0.6657, 0.2505) [4 per cell]  6 Si 2.54-2.65
Mo (0.5000, 0.0000, 0.5000) [2 per cell]  6 Si 2.67-2.69